The following is a PBE+U calculation of an optimized crystal structure of CrHF2, from the Alexandria database.

a = 5.2924 Å, b = 5.2924 Å, c = 5.2924 Å
α = 90.00°, β = 90.00°, γ = 90.00°
Positions (direct):
Cr (0.0000, 0.0000, 0.0000)
Cr (0.0000, 0.5000, 0.5000)
Cr (0.5000, 0.0000, 0.5000)
Cr (0.5000, 0.5000, 0.0000)
H (0.0000, 0.0000, 0.5000)
H (0.0000, 0.5000, 0.0000)
H (0.5000, 0.0000, 0.0000)
H (0.5000, 0.5000, 0.5000)
F (0.2500, 0.2500, 0.2500)
F (0.2500, 0.2500, 0.7500)
F (0.2500, 0.7500, 0.2500)
F (0.2500, 0.7500, 0.7500)
F (0.7500, 0.2500, 0.2500)
F (0.7500, 0.2500, 0.7500)
F (0.7500, 0.7500, 0.2500)
F (0.7500, 0.7500, 0.7500)

Properties
- Theoretical density: 4.08 Mg/m³
- Offset from the most stable computed form: 414 meV/atom
- Space group: Fm-3m